Arrangement 1

Material: SrDyAu2
Method: DFT, PBE
State: relaxed

Cell lengths 3.702, 3.702, 7.535 Å; angles 90.00, 90.00, 90.00 degrees
Sites, in units of the cell vectors:
Sr 0.000 0.000 0.000
Dy 0.000 0.000 0.500
Au 0.500 0.500 0.290
Au 0.500 0.500 0.710

***

Arrangement 2

Material: SrDyAu2
Method: DFT, PBE
State: relaxed

Cell lengths 7.999, 7.999, 7.999 Å; angles 30.48, 30.48, 30.48 degrees
Sites, in units of the cell vectors:
Sr 0.000 0.000 0.000
Dy 0.170 0.170 0.170
Au 0.575 0.575 0.575
Au 0.762 0.762 0.762

***

Arrangement 3

Material: SrDyAu2
Method: DFT, PBE
State: relaxed

Cell lengths 5.802, 5.802, 5.802 Å; angles 51.10, 51.10, 51.10 degrees
Sites, in units of the cell vectors:
Sr 0.000 0.000 0.000
Dy 0.500 0.500 0.500
Au 0.215 0.215 0.215
Au 0.785 0.785 0.785

***

Bottom line: arrangement 1, by a margin of 85 meV per atom.

***

Arrangement 1

Material: SrDy2Au
Method: DFT, PBE
State: relaxed

Cell lengths 10.525, 10.525, 10.525 Å; angles 21.73, 21.73, 21.73 degrees
Sites, in units of the cell vectors:
Sr 0.000 0.000 0.000
Dy 0.225 0.225 0.225
Dy 0.775 0.775 0.775
Au 0.500 0.500 0.500

***

Arrangement 2

Material: SrDy2Au
Method: DFT, PBE
State: relaxed

Cell lengths 10.408, 10.408, 10.408 Å; angles 22.06, 22.06, 22.06 degrees
Sites, in units of the cell vectors:
Sr 0.000 0.000 0.000
Dy 0.557 0.557 0.557
Dy 0.773 0.773 0.773
Au 0.165 0.165 0.165

***

Bottom line: arrangement 2, by a margin of 14 meV per atom.

***

Arrangement 1

Material: TbDyAu
Method: DFT, PBE
State: relaxed

Cell lengths 6.668, 6.668, 6.668 Å; angles 148.64, 148.64, 44.94 degrees
Sites, in units of the cell vectors:
Tb 0.000 0.000 0.000
Dy 0.711 0.711 0.000
Au 0.353 0.353 0.000

***

Arrangement 2

Material: TbDyAu
Method: DFT, PBE
State: relaxed

Cell lengths 4.913, 4.913, 3.814 Å; angles 90.00, 90.00, 120.00 degrees
Sites, in units of the cell vectors:
Tb 0.000 0.000 0.000
Dy 0.667 0.333 0.468
Au 0.333 0.667 0.726

***

Bottom line: arrangement 1, by a margin of 118 meV per atom.

***

Arrangement 1

Material: TbDyAu
Method: DFT, PBE
State: relaxed

Cell lengths 8.061, 8.061, 8.061 Å; angles 36.13, 36.13, 36.13 degrees
Sites, in units of the cell vectors:
Tb 0.000 0.000 0.000
Tb 0.162 0.162 0.162
Dy 0.421 0.421 0.421
Dy 0.583 0.583 0.583
Au 0.717 0.717 0.717
Au 0.867 0.867 0.867

***

Arrangement 2

Material: TbDyAu
Method: DFT, PBE
State: relaxed

Cell lengths 4.748, 4.748, 7.353 Å; angles 90.00, 90.00, 90.00 degrees
Sites, in units of the cell vectors:
Tb 0.250 0.250 0.127
Tb 0.750 0.750 0.873
Dy 0.250 0.750 0.500
Dy 0.750 0.250 0.500
Au 0.250 0.250 0.742
Au 0.750 0.750 0.258

***

Bottom line: arrangement 2, by a margin of 64 meV per atom.

***

Arrangement 1

Material: TbDyAu
Method: DFT, PBE
State: relaxed

Cell lengths 4.983, 4.983, 4.983 Å; angles 60.00, 60.00, 60.00 degrees
Sites, in units of the cell vectors:
Tb 0.000 0.000 0.000
Dy 0.500 0.500 0.500
Au 0.750 0.750 0.750

***

Arrangement 2

Material: TbDyAu
Method: DFT, PBE
State: relaxed

Cell lengths 7.127, 4.981, 8.969 Å; angles 90.00, 90.00, 90.00 degrees
Sites, in units of the cell vectors:
Tb 0.012 0.250 0.177
Tb 0.488 0.750 0.677
Tb 0.512 0.250 0.323
Tb 0.988 0.750 0.823
Dy 0.150 0.250 0.582
Dy 0.350 0.750 0.082
Dy 0.650 0.250 0.918
Dy 0.850 0.750 0.418
Au 0.243 0.250 0.902
Au 0.257 0.750 0.402
Au 0.743 0.250 0.598
Au 0.757 0.750 0.098

***

Bottom line: arrangement 2, by a margin of 193 meV per atom.

***

Arrangement 1

Material: TbDyAu2
Method: DFT, PBE
State: relaxed

Cell lengths 5.118, 5.118, 3.585 Å; angles 90.00, 90.00, 90.00 degrees
Sites, in units of the cell vectors:
Tb 0.000 0.000 0.000
Dy 0.500 0.500 0.000
Au 0.000 0.500 0.500
Au 0.500 0.000 0.500

***

Arrangement 2

Material: TbDyAu2
Method: DFT, PBE
State: relaxed

Cell lengths 4.704, 5.826, 5.826 Å; angles 37.27, 90.00, 90.00 degrees
Sites, in units of the cell vectors:
Tb 0.000 0.000 0.000
Dy 0.500 0.277 0.277
Au 0.000 0.727 0.727
Au 0.500 0.550 0.550

***

Bottom line: arrangement 2, by a margin of 26 meV per atom.

***

Arrangement 1

Material: Tb3DyAu2
Method: DFT, PBE
State: relaxed

Cell lengths 4.991, 9.002, 7.112 Å; angles 90.00, 90.00, 90.00 degrees
Sites, in units of the cell vectors:
Tb 0.000 0.074 0.000
Tb 0.000 0.333 0.361
Tb 0.000 0.667 0.861
Tb 0.000 0.926 0.500
Tb 0.500 0.168 0.661
Tb 0.500 0.832 0.161
Dy 0.500 0.426 0.023
Dy 0.500 0.574 0.523
Au 0.000 0.348 0.771
Au 0.000 0.652 0.271
Au 0.500 0.153 0.252
Au 0.500 0.847 0.752

***

Arrangement 2

Material: Tb3DyAu2
Method: DFT, PBE
State: relaxed

Cell lengths 8.614, 8.614, 8.614 Å; angles 131.62, 72.46, 129.59 degrees
Sites, in units of the cell vectors:
Tb 0.017 0.750 0.267
Tb 0.250 0.250 0.000
Tb 0.483 0.750 0.733
Tb 0.517 0.250 0.267
Tb 0.750 0.750 0.000
Tb 0.983 0.250 0.733
Dy 0.000 0.500 0.500
Dy 0.500 0.000 0.500
Au 0.141 0.205 0.347
Au 0.359 0.705 0.064
Au 0.641 0.295 0.936
Au 0.859 0.795 0.653

***

Bottom line: arrangement 1, by a margin of 177 meV per atom.

***

Arrangement 1

Material: Dy2TeAu
Method: DFT, PBE
State: relaxed

Cell lengths 7.870, 7.870, 7.870 Å; angles 30.57, 30.57, 30.57 degrees
Sites, in units of the cell vectors:
Dy 0.243 0.243 0.243
Dy 0.757 0.757 0.757
Te 0.000 0.000 0.000
Au 0.500 0.500 0.500

***

Arrangement 2

Material: Dy2TeAu
Method: DFT, PBE
State: relaxed

Cell lengths 7.917, 7.917, 7.917 Å; angles 30.41, 30.41, 30.41 degrees
Sites, in units of the cell vectors:
Dy 0.000 0.000 0.000
Dy 0.183 0.183 0.183
Te 0.424 0.424 0.424
Au 0.593 0.593 0.593

***

Bottom line: arrangement 1, by a margin of 30 meV per atom.

***

Arrangement 1

Material: Dy2TeAu
Method: DFT, PBE
State: relaxed

Cell lengths 11.957, 11.957, 4.492 Å; angles 90.00, 90.00, 160.48 degrees
Sites, in units of the cell vectors:
Dy 0.061 0.939 0.750
Dy 0.331 0.669 0.750
Dy 0.669 0.331 0.250
Dy 0.939 0.061 0.250
Te 0.195 0.805 0.750
Te 0.805 0.195 0.250
Au 0.457 0.543 0.750
Au 0.543 0.457 0.250

***

Arrangement 2

Material: Dy2TeAu
Method: DFT, PBE
State: relaxed

Cell lengths 3.805, 3.805, 6.984 Å; angles 90.00, 90.00, 90.00 degrees
Sites, in units of the cell vectors:
Dy 0.000 0.000 0.240
Dy 0.000 0.000 0.760
Te 0.500 0.500 0.500
Au 0.500 0.500 0.000

***

Bottom line: arrangement 1, by a margin of 181 meV per atom.

***

Arrangement 1

Material: Dy2ThAu3
Method: DFT, PBE
State: relaxed

Cell lengths 3.585, 3.585, 11.207 Å; angles 90.00, 90.00, 90.00 degrees
Sites, in units of the cell vectors:
Dy 0.000 0.000 0.161
Dy 0.000 0.000 0.839
Th 0.000 0.000 0.500
Au 0.500 0.500 0.000
Au 0.500 0.500 0.317
Au 0.500 0.500 0.683

***

Arrangement 2

Material: Dy2ThAu3
Method: DFT, PBE
State: relaxed

Cell lengths 5.125, 5.125, 6.403 Å; angles 90.00, 90.00, 120.00 degrees
Sites, in units of the cell vectors:
Dy 0.333 0.667 0.160
Dy 0.667 0.333 0.840
Th 0.000 0.000 0.500
Au 0.000 0.000 0.000
Au 0.333 0.667 0.681
Au 0.667 0.333 0.319

***

Bottom line: arrangement 1, by a margin of 15 meV per atom.

***

Arrangement 1

Material: Dy2ThAu
Method: DFT, PBE
State: relaxed

Cell lengths 10.240, 10.240, 10.240 Å; angles 20.48, 20.48, 20.48 degrees
Sites, in units of the cell vectors:
Dy 0.238 0.238 0.238
Dy 0.762 0.762 0.762
Th 0.000 0.000 0.000
Au 0.500 0.500 0.500

***

Arrangement 2

Material: Dy2ThAu
Method: DFT, PBE
State: relaxed

Cell lengths 3.619, 3.619, 8.315 Å; angles 90.00, 90.00, 90.00 degrees
Sites, in units of the cell vectors:
Dy 0.000 0.000 0.211
Dy 0.000 0.000 0.789
Th 0.500 0.500 0.500
Au 0.500 0.500 0.000

***

Arrangement 3

Material: Dy2ThAu
Method: DFT, PBE
State: relaxed

Cell lengths 10.198, 10.198, 10.198 Å; angles 20.85, 20.85, 20.85 degrees
Sites, in units of the cell vectors:
Dy 0.000 0.000 0.000
Dy 0.195 0.195 0.195
Th 0.763 0.763 0.763
Au 0.598 0.598 0.598

***

Bottom line: arrangement 2, by a margin of 146 meV per atom.

***

Arrangement 1

Material: DyTh2Au
Method: DFT, PBE
State: relaxed

Cell lengths 10.522, 10.522, 10.522 Å; angles 20.07, 20.07, 20.07 degrees
Sites, in units of the cell vectors:
Dy 0.000 0.000 0.000
Th 0.241 0.241 0.241
Th 0.759 0.759 0.759
Au 0.500 0.500 0.500

***

Arrangement 2

Material: DyTh2Au
Method: DFT, PBE
State: relaxed

Cell lengths 3.615, 3.615, 8.962 Å; angles 90.00, 90.00, 90.00 degrees
Sites, in units of the cell vectors:
Dy 0.000 0.000 0.000
Th 0.500 0.500 0.282
Th 0.500 0.500 0.718
Au 0.000 0.000 0.500

***

Bottom line: arrangement 2, by a margin of 85 meV per atom.